Entry from OQMD: LiCoGeMo after structural relaxation (PBE).

Values from the calculation:
uncorrected energy: -97.4 eV per cell
magnetic moment: 1.988 μB per formula unit

Unit cell a=5.878 b=5.878 c=5.878 alpha=90.00 beta=90.00 gamma=90.00
Space group F-43m (No. 216)
Unique sites:
Li 0.000 0.000 0.000
Co 0.000 0.000 0.500
Ge 0.250 0.250 0.250
Mo 0.250 0.250 0.750

---

Entry from OQMD: YBeOs2 after structural relaxation (PBE).

Values from the calculation:
uncorrected energy: -124.6 eV per cell
magnetic moment: 0.001 μB per formula unit

Unit cell a=6.344 b=6.344 c=6.344 alpha=90.00 beta=90.00 gamma=90.00
Space group F-43m (No. 216)
Unique sites:
Y 0.000 0.000 0.000
Be 0.250 0.250 0.750
Os 0.000 0.000 0.500
Os 0.250 0.250 0.250

---

Entry from OQMD: SmNiBi after structural relaxation (PBE).

Values from the calculation:
uncorrected energy: -47.7 eV per cell
magnetic moment: 0.001 μB per formula unit

Unit cell a=7.4266 b=7.4266 c=4.2648 alpha=90.00 beta=90.00 gamma=120.00
Space group P-62m (No. 189)
Unique sites:
Sm 0.0000 0.6115 0.0000
Ni 0.0000 0.0000 0.0000
Ni 0.3333 0.6667 0.5000
Bi 0.0000 0.2755 0.5000

---

Entry from OQMD: Be2CdPt after structural relaxation (PBE).

Values from the calculation:
uncorrected energy: -56.1 eV per cell
magnetic moment: 0.002 μB per formula unit

Unit cell a=6.055 b=6.055 c=6.055 alpha=90.00 beta=90.00 gamma=90.00
Space group F-43m (No. 216)
Unique sites:
Be 0.000 0.000 0.000
Be 0.250 0.250 0.250
Cd 0.250 0.250 0.750
Pt 0.000 0.000 0.500

---

Entry from OQMD: MgTlTcMo after structural relaxation (PBE).

Values from the calculation:
uncorrected energy: -94.1 eV per cell
magnetic moment: 0.005 μB per formula unit

Unit cell a=6.493 b=6.493 c=6.493 alpha=90.00 beta=90.00 gamma=90.00
Space group F-43m (No. 216)
Unique sites:
Mg 0.000 0.000 0.000
Tl 0.250 0.250 0.250
Tc 0.000 0.000 0.500
Mo 0.250 0.250 0.750

---

Entry from OQMD: CsErOs after structural relaxation (PBE).

Values from the calculation:
uncorrected energy: -53.5 eV per cell
magnetic moment: 0.000 μB per formula unit

Unit cell a=7.009 b=7.009 c=7.009 alpha=90.00 beta=90.00 gamma=90.00
Space group F-43m (No. 216)
Unique sites:
Cs 0.000 0.000 0.000
Er 0.000 0.000 0.500
Os 0.250 0.250 0.250

---

Entry from OQMD: Li2MgAl2ZnNi2 after structural relaxation (PBE).

Values from the calculation:
uncorrected energy: -27.9 eV per cell
magnetic moment: 0.000 μB per formula unit

Unit cell a=4.212 b=4.212 c=5.978 alpha=90.00 beta=90.00 gamma=90.00
Space group P-4m2 (No. 115)
Unique sites:
Li 0.000 0.500 0.238
Mg 0.500 0.500 0.500
Al 0.000 0.000 0.500
Al 0.500 0.500 0.000
Zn 0.000 0.000 0.000
Ni 0.000 0.500 0.760

---

Entry from OQMD: NaSmBi after structural relaxation (PBE).

Values from the calculation:
uncorrected energy: -42.5 eV per cell
magnetic moment: 0.000 μB per formula unit

Unit cell a=7.450 b=7.450 c=7.450 alpha=90.00 beta=90.00 gamma=90.00
Space group F-43m (No. 216)
Unique sites:
Na 0.000 0.000 0.000
Sm 0.250 0.250 0.750
Bi 0.000 0.000 0.500